# 1
# GGA-PBE NbCo2SnI, relaxed
# * formation energy (no corrections): 1.22 eV per atom
# * raw total energy: -4.744 eV/atom
# * M_tot: 0.57 μB per cell
data_NbCo2SnI
_space_group_name_H-M_alt 'P 4/m m m'
_space_group_IT_number 123
_space_group_name_Hall '-P 4 2'
_cell_length_a 4.530
_cell_length_b 4.530
_cell_length_c 5.202
_cell_angle_alpha 90.00
_cell_angle_beta 90.00
_cell_angle_gamma 90.00
loop_
_atom_site_label
_atom_site_type_symbol
_atom_site_fract_x
_atom_site_fract_y
_atom_site_fract_z
Nb1 Nb 0.000 0.000 0.000
Co1 Co 0.000 0.500 0.500
Sn1 Sn 0.500 0.500 0.000
I1 I 0.000 0.000 0.500


# 2
# GGA-PBE SrNbCoI2, relaxed
# * formation energy (no corrections): 0.18 eV per atom
# * raw total energy: -4.211 eV/atom
# * M_tot: 1.21 μB per cell
data_SrNbCoI2
_space_group_name_H-M_alt 'P 4/m m m'
_space_group_IT_number 123
_space_group_name_Hall '-P 4 2'
_cell_length_a 5.643
_cell_length_b 5.643
_cell_length_c 4.610
_cell_angle_alpha 90.00
_cell_angle_beta 90.00
_cell_angle_gamma 90.00
loop_
_atom_site_label
_atom_site_type_symbol
_atom_site_fract_x
_atom_site_fract_y
_atom_site_fract_z
Sr1 Sr 0.000 0.000 0.000
Nb1 Nb 0.500 0.500 0.500
Co1 Co 0.500 0.500 0.000
I1 I 0.000 0.500 0.500


# 3
# GGA-PBE NbCoTeI2, relaxed
# * formation energy (no corrections): 0.82 eV per atom
# * raw total energy: -3.866 eV/atom
# * M_tot: 1.92 μB per cell
# * E above lowest polymorph: 0.000 eV/atom
data_NbCoTeI2
_space_group_name_H-M_alt 'P 4/m m m'
_space_group_IT_number 123
_space_group_name_Hall '-P 4 2'
_cell_length_a 5.119
_cell_length_b 5.119
_cell_length_c 5.110
_cell_angle_alpha 90.00
_cell_angle_beta 90.00
_cell_angle_gamma 90.00
loop_
_atom_site_label
_atom_site_type_symbol
_atom_site_fract_x
_atom_site_fract_y
_atom_site_fract_z
Nb1 Nb 0.000 0.000 0.000
Co1 Co 0.500 0.500 0.500
Te1 Te 0.500 0.500 0.000
I1 I 0.000 0.500 0.500


# 4
# GGA-PBE NbCoTeI2, relaxed
# * formation energy (no corrections): 0.82 eV per atom
# * raw total energy: -3.860 eV/atom
# * M_tot: 3.46 μB per cell
# * E above lowest polymorph: 0.006 eV/atom
data_NbCoTeI2
_space_group_name_H-M_alt 'P 4/m m m'
_space_group_IT_number 123
_space_group_name_Hall '-P 4 2'
_cell_length_a 5.625
_cell_length_b 5.625
_cell_length_c 5.418
_cell_angle_alpha 90.00
_cell_angle_beta 90.00
_cell_angle_gamma 90.00
loop_
_atom_site_label
_atom_site_type_symbol
_atom_site_fract_x
_atom_site_fract_y
_atom_site_fract_z
Nb1 Nb 0.000 0.000 0.000
Co1 Co 0.500 0.500 0.500
Te1 Te 0.000 0.000 0.500
I1 I 0.000 0.500 0.000


# 5
# GGA-PBE Nb2CoTeI, relaxed
# * formation energy (no corrections): 1.97 eV per atom
# * raw total energy: -4.419 eV/atom
# * M_tot: 0.29 μB per cell
data_Nb2CoTeI
_space_group_name_H-M_alt 'P 4/m m m'
_space_group_IT_number 123
_space_group_name_Hall '-P 4 2'
_cell_length_a 5.121
_cell_length_b 5.121
_cell_length_c 6.091
_cell_angle_alpha 90.00
_cell_angle_beta 90.00
_cell_angle_gamma 90.00
loop_
_atom_site_label
_atom_site_type_symbol
_atom_site_fract_x
_atom_site_fract_y
_atom_site_fract_z
Nb1 Nb 0.000 0.500 0.000
Co1 Co 0.000 0.000 0.500
Te1 Te 0.500 0.500 0.000
I1 I 0.500 0.500 0.500


# 6
# GGA-PBE TiNbCo2I, relaxed
# * formation energy (no corrections): 1.32 eV per atom
# * raw total energy: -5.428 eV/atom
# * M_tot: 0.28 μB per cell
data_TiNbCo2I
_space_group_name_H-M_alt 'P 4/m m m'
_space_group_IT_number 123
_space_group_name_Hall '-P 4 2'
_cell_length_a 4.469
_cell_length_b 4.469
_cell_length_c 5.288
_cell_angle_alpha 90.00
_cell_angle_beta 90.00
_cell_angle_gamma 90.00
loop_
_atom_site_label
_atom_site_type_symbol
_atom_site_fract_x
_atom_site_fract_y
_atom_site_fract_z
Ti1 Ti 0.000 0.000 0.000
Nb1 Nb 0.500 0.500 0.500
Co1 Co 0.000 0.500 0.500
I1 I 0.500 0.500 0.000